Tl2In4Sn | GGA-PBE | relaxed

Cell and atoms, written as POSCAR:
```
Tl2In4Sn
1.0
1.699 -17.473 0.000
1.699 17.473 0.000
0.000 0.000 3.376
Tl In Sn
2 4 1
direct
0.207 0.793 0.000
0.793 0.207 0.000
0.067 0.933 0.000
0.365 0.635 0.500
0.635 0.365 0.500
0.933 0.067 0.000
0.500 0.500 0.500
```

Values from the calculation:
**Symmetry**: Cmmm
**D(E_F)**: 0.51 states/eV/atom


Ho2InGa2Rh5 | GGA-PBE | relaxed

Cell and atoms, written as POSCAR:
```
Ho2InGa2Rh5
1.0
9.835 0.000 0.000
0.000 9.835 0.000
0.000 0.000 3.584
Ho In Ga Rh
4 2 4 10
direct
0.174 0.326 0.000
0.326 0.826 0.000
0.674 0.174 0.000
0.826 0.674 0.000
0.000 0.000 0.000
0.500 0.500 0.000
0.124 0.624 0.000
0.376 0.124 0.000
0.624 0.876 0.000
0.876 0.376 0.000
0.000 0.500 0.500
0.069 0.792 0.500
0.208 0.069 0.500
0.292 0.569 0.500
0.431 0.292 0.500
0.500 0.000 0.500
0.569 0.708 0.500
0.708 0.431 0.500
0.792 0.931 0.500
0.931 0.208 0.500
```

Values from the calculation:
**Symmetry**: P4/mbm
**D(E_F)**: 0.56 states/eV/atom


PrSmHo6Er2 | GGA-PBE | relaxed

Cell and atoms, written as POSCAR:
```
PrSmHo6Er2
1.0
4.575 -7.488 0.000
4.575 7.488 0.000
-1.003 0.000 9.399
Pr Sm Ho Er
2 2 12 4
direct
0.031 0.969 0.750
0.969 0.031 0.250
0.410 0.590 0.250
0.590 0.410 0.750
0.018 0.563 0.681
0.119 0.754 0.058
0.246 0.881 0.442
0.292 0.515 0.884
0.437 0.982 0.819
0.485 0.708 0.616
0.515 0.292 0.384
0.563 0.018 0.181
0.708 0.485 0.116
0.754 0.119 0.558
0.881 0.246 0.942
0.982 0.437 0.319
0.198 0.303 0.549
0.303 0.198 0.049
0.697 0.802 0.951
0.802 0.697 0.451
```

Values from the calculation:
**Symmetry**: C2/c
**D(E_F)**: 1.50 states/eV/atom


Na3BrCl4 | GGA-PBE | relaxed

Cell and atoms, written as POSCAR:
```
Na3BrCl4
1.0
8.636 0.000 0.000
0.000 8.491 0.000
0.000 0.000 7.350
Na Br Cl
6 2 8
direct
0.000 0.129 0.000
0.246 0.688 0.036
0.254 0.312 0.536
0.500 0.871 0.500
0.746 0.312 0.536
0.754 0.688 0.036
0.000 0.647 0.640
0.500 0.353 0.140
0.000 0.178 0.649
0.000 0.845 0.135
0.219 0.363 0.150
0.281 0.637 0.650
0.500 0.155 0.635
0.500 0.822 0.149
0.719 0.637 0.650
0.781 0.363 0.150
```

Values from the calculation:
**Symmetry**: Pmn2_1
**D(E_F)**: 0.00 states/eV/atom
**Formation energy from raw total energies**: -1.27 eV/atom


The total DFT energy (no corrections) results, record by record, are as follows: -19.48; -125.25; -89.71; -46.29 eV per cell.